# H28RuS2N6O10, relaxed, DFT GGA-PBEsol
# VASP energy   -5.38 eV/atom
# ρ   2.0 g/cm³
# SG   No. 14
data_H28RuS2N6O10
_chemical_formula_sum 'H56 Ru2 S4 N12 O20'
_cell_length_a 6.115
_cell_length_b 9.830
_cell_length_c 12.332
_cell_angle_alpha 90.00
_cell_angle_beta 96.04
_cell_angle_gamma 90.00
_symmetry_space_group_name_H-M 'P 1'
_symmetry_Int_Tables_number 1
loop_
_symmetry_equiv_pos_as_xyz
'x,y,z'
loop_
_atom_site_label
_atom_site_type_symbol
_atom_site_fract_x
_atom_site_fract_y
_atom_site_fract_z
H1 H 0.038 0.103 0.073
H2 H 0.038 0.397 0.573
H3 H 0.098 0.031 0.293
H4 H 0.098 0.469 0.793
H5 H 0.129 0.217 0.809
H6 H 0.129 0.283 0.309
H7 H 0.147 0.545 0.587
H8 H 0.147 0.955 0.087
H9 H 0.173 0.623 0.830
H10 H 0.173 0.877 0.330
H11 H 0.196 0.236 0.546
H12 H 0.196 0.264 0.046
H13 H 0.278 0.137 0.649
H14 H 0.278 0.363 0.149
H15 H 0.326 0.639 0.288
H16 H 0.326 0.861 0.788
H17 H 0.329 0.009 0.372
H18 H 0.329 0.491 0.872
H19 H 0.337 0.625 0.424
H20 H 0.337 0.875 0.924
H21 H 0.344 0.019 0.844
H22 H 0.344 0.481 0.344
H23 H 0.390 0.241 0.841
H24 H 0.390 0.259 0.341
H25 H 0.391 0.125 0.530
H26 H 0.391 0.375 0.030
H27 H 0.428 0.086 0.138
H28 H 0.428 0.414 0.638
H29 H 0.572 0.586 0.362
H30 H 0.572 0.914 0.862
H31 H 0.609 0.625 0.970
H32 H 0.609 0.875 0.470
H33 H 0.610 0.741 0.659
H34 H 0.610 0.759 0.159
H35 H 0.656 0.519 0.656
H36 H 0.656 0.981 0.156
H37 H 0.663 0.125 0.076
H38 H 0.663 0.375 0.576
H39 H 0.671 0.509 0.128
H40 H 0.671 0.991 0.628
H41 H 0.674 0.139 0.212
H42 H 0.674 0.361 0.712
H43 H 0.722 0.637 0.851
H44 H 0.722 0.863 0.351
H45 H 0.804 0.736 0.954
H46 H 0.804 0.764 0.454
H47 H 0.827 0.123 0.670
H48 H 0.827 0.377 0.170
H49 H 0.853 0.045 0.913
H50 H 0.853 0.455 0.413
H51 H 0.871 0.717 0.691
H52 H 0.871 0.783 0.191
H53 H 0.902 0.531 0.207
H54 H 0.902 0.969 0.707
H55 H 0.962 0.603 0.427
H56 H 0.962 0.897 0.927
Ru1 Ru 0.000 0.000 0.500
Ru2 Ru 0.000 0.500 0.000
S1 S 0.189 0.676 0.079
S2 S 0.189 0.824 0.579
S3 S 0.811 0.176 0.421
S4 S 0.811 0.324 0.921
N1 N 0.168 0.525 0.859
N2 N 0.168 0.975 0.359
N3 N 0.246 0.138 0.565
N4 N 0.246 0.362 0.065
N5 N 0.398 0.584 0.355
N6 N 0.398 0.916 0.855
N7 N 0.602 0.084 0.145
N8 N 0.602 0.416 0.645
N9 N 0.754 0.638 0.935
N10 N 0.754 0.862 0.435
N11 N 0.832 0.025 0.641
N12 N 0.832 0.475 0.141
O1 O 0.127 0.714 0.192
O2 O 0.127 0.786 0.692
O3 O 0.148 0.049 0.120
O4 O 0.148 0.451 0.620
O5 O 0.157 0.690 0.513
O6 O 0.157 0.810 0.013
O7 O 0.278 0.176 0.804
O8 O 0.278 0.324 0.304
O9 O 0.436 0.651 0.094
O10 O 0.436 0.849 0.594
O11 O 0.564 0.151 0.406
O12 O 0.564 0.349 0.906
O13 O 0.722 0.676 0.696
O14 O 0.722 0.824 0.196
O15 O 0.843 0.190 0.987
O16 O 0.843 0.310 0.487
O17 O 0.852 0.549 0.380
O18 O 0.852 0.951 0.880
O19 O 0.873 0.214 0.308
O20 O 0.873 0.286 0.808